No. 1
# K2TbSmO4 (PBE, optimized geometry)
# energy relative to the elements, uncorrected	-2.705	eV per atom
# density	5.5	Mg/m³
# total moment	0.000	μB per cell
# electronic total energy	-6.627	eV/atom
data_K2TbSmO4
_symmetry_space_group_name_H-M 'P 1'
_symmetry_Int_Tables_number 1
_symmetry_space_group_name_Hall 'P 1'
_cell_length_a 6.144
_cell_length_b 3.547
_cell_length_c 6.607
_cell_angle_alpha 90.00
_cell_angle_beta 108.05
_cell_angle_gamma 90.00
loop_
_atom_site_label
_atom_site_fract_x
_atom_site_fract_y
_atom_site_fract_z
K1 0.000 0.000 0.000
K2 0.500 0.500 0.000
Tb1 0.000 0.500 0.500
Sm1 0.500 0.000 0.500
O1 0.225 0.000 0.687
O2 0.266 0.500 0.312
O3 0.734 0.500 0.688
O4 0.775 0.000 0.313

---

No. 2
# K4SmTc3O12 (PBE, optimized geometry)
# energy relative to the elements, uncorrected	-1.731	eV per atom
# density	4.8	Mg/m³
# total moment	0.924	μB per cell
# electronic total energy	-6.716	eV/atom
data_K4SmTc3O12
_symmetry_space_group_name_H-M 'P 1'
_symmetry_Int_Tables_number 1
_symmetry_space_group_name_Hall 'P 1'
_cell_length_a 7.073
_cell_length_b 7.073
_cell_length_c 7.073
_cell_angle_alpha 109.47
_cell_angle_beta 109.47
_cell_angle_gamma 109.47
loop_
_atom_site_label
_atom_site_fract_x
_atom_site_fract_y
_atom_site_fract_z
K1 0.000 0.000 0.500
K2 0.000 0.500 0.000
K3 0.500 0.000 0.000
K4 0.500 0.500 0.500
Sm1 0.000 0.000 0.000
Tc1 0.000 0.500 0.500
Tc2 0.500 0.000 0.500
Tc3 0.500 0.500 0.000
O1 0.000 0.273 0.273
O2 0.000 0.727 0.727
O3 0.250 0.500 0.750
O4 0.250 0.750 0.500
O5 0.273 0.000 0.273
O6 0.273 0.273 0.000
O7 0.500 0.250 0.750
O8 0.500 0.750 0.250
O9 0.727 0.000 0.727
O10 0.727 0.727 0.000
O11 0.750 0.250 0.500
O12 0.750 0.500 0.250

---

No. 3
# K3SmTc2O9 (PBE, optimized geometry)
# energy relative to the elements, uncorrected	-1.864	eV per atom
# density	4.8	Mg/m³
# total moment	0.000	μB per cell
# electronic total energy	-6.755	eV/atom
data_K3SmTc2O9
_symmetry_space_group_name_H-M 'P 1'
_symmetry_Int_Tables_number 1
_symmetry_space_group_name_Hall 'P 1'
_cell_length_a 5.796
_cell_length_b 5.796
_cell_length_c 7.236
_cell_angle_alpha 90.00
_cell_angle_beta 90.00
_cell_angle_gamma 120.00
loop_
_atom_site_label
_atom_site_fract_x
_atom_site_fract_y
_atom_site_fract_z
K1 0.000 0.000 0.000
K2 0.333 0.667 0.678
K3 0.667 0.333 0.322
Sm1 0.000 0.000 0.500
Tc1 0.333 0.667 0.157
Tc2 0.667 0.333 0.843
O1 0.000 0.500 0.000
O2 0.180 0.360 0.305
O3 0.180 0.820 0.305
O4 0.360 0.180 0.695
O5 0.500 0.000 0.000
O6 0.500 0.500 0.000
O7 0.640 0.820 0.305
O8 0.820 0.180 0.695
O9 0.820 0.640 0.695

---

No. 4
# KSmTc2O8 (PBE, optimized geometry)
# energy relative to the elements, uncorrected	-1.900	eV per atom
# density	3.5	Mg/m³
# total moment	2.038	μB per cell
# electronic total energy	-7.418	eV/atom
data_KSmTc2O8
_symmetry_space_group_name_H-M 'P 1'
_symmetry_Int_Tables_number 1
_symmetry_space_group_name_Hall 'P 1'
_cell_length_a 6.044
_cell_length_b 6.044
_cell_length_c 7.685
_cell_angle_alpha 90.00
_cell_angle_beta 90.00
_cell_angle_gamma 120.00
loop_
_atom_site_label
_atom_site_fract_x
_atom_site_fract_y
_atom_site_fract_z
K1 0.000 0.000 0.000
Sm1 0.000 0.000 0.500
Tc1 0.333 0.667 0.770
Tc2 0.667 0.333 0.230
O1 0.172 0.344 0.690
O2 0.172 0.828 0.690
O3 0.333 0.667 0.997
O4 0.344 0.172 0.310
O5 0.656 0.828 0.690
O6 0.667 0.333 0.003
O7 0.828 0.172 0.310
O8 0.828 0.656 0.310

---

No. 5
# K2SmTe2O6 (PBE, optimized geometry)
# energy relative to the elements, uncorrected	-1.619	eV per atom
# density	4.2	Mg/m³
# total moment	0.000	μB per cell
# electronic total energy	-5.523	eV/atom
data_K2SmTe2O6
_symmetry_space_group_name_H-M 'P 1'
_symmetry_Int_Tables_number 1
_symmetry_space_group_name_Hall 'P 1'
_cell_length_a 6.081
_cell_length_b 6.081
_cell_length_c 7.226
_cell_angle_alpha 108.15
_cell_angle_beta 108.15
_cell_angle_gamma 68.89
loop_
_atom_site_label
_atom_site_fract_x
_atom_site_fract_y
_atom_site_fract_z
K1 0.206 0.206 0.138
K2 0.794 0.794 0.862
Sm1 0.000 0.000 0.500
Te1 0.426 0.426 0.757
Te2 0.574 0.574 0.243
O1 0.145 0.697 0.674
O2 0.239 0.239 0.770
O3 0.303 0.855 0.326
O4 0.697 0.145 0.674
O5 0.761 0.761 0.230
O6 0.855 0.303 0.326

---

No. 6
# KSm3Te4O12 (PBE, optimized geometry)
# energy relative to the elements, uncorrected	-1.702	eV per atom
# density	5.0	Mg/m³
# total moment	0.938	μB per cell
# electronic total energy	-6.068	eV/atom
data_KSm3Te4O12
_symmetry_space_group_name_H-M 'P 1'
_symmetry_Int_Tables_number 1
_symmetry_space_group_name_Hall 'P 1'
_cell_length_a 7.891
_cell_length_b 7.891
_cell_length_c 7.891
_cell_angle_alpha 108.40
_cell_angle_beta 108.40
_cell_angle_gamma 108.40
loop_
_atom_site_label
_atom_site_fract_x
_atom_site_fract_y
_atom_site_fract_z
K1 0.000 0.000 0.000
Sm1 0.000 0.557 0.443
Sm2 0.443 0.000 0.557
Sm3 0.557 0.443 0.000
Te1 0.053 0.500 0.947
Te2 0.500 0.500 0.500
Te3 0.500 0.947 0.053
Te4 0.947 0.053 0.500
O1 0.073 0.639 0.781
O2 0.112 0.888 0.500
O3 0.219 0.361 0.927
O4 0.340 0.660 0.500
O5 0.361 0.927 0.219
O6 0.500 0.112 0.888
O7 0.500 0.340 0.660
O8 0.639 0.781 0.073
O9 0.660 0.500 0.340
O10 0.781 0.073 0.639
O11 0.888 0.500 0.112
O12 0.927 0.219 0.361

---

No. 7
# KSmTiO4 (PBE, optimized geometry)
# energy relative to the elements, uncorrected	-2.899	eV per atom
# density	3.8	Mg/m³
# total moment	0.000	μB per cell
# electronic total energy	-7.691	eV/atom
data_KSmTiO4
_symmetry_space_group_name_H-M 'P 1'
_symmetry_Int_Tables_number 1
_symmetry_space_group_name_Hall 'P 1'
_cell_length_a 6.043
_cell_length_b 6.070
_cell_length_c 7.477
_cell_angle_alpha 90.00
_cell_angle_beta 105.89
_cell_angle_gamma 90.00
loop_
_atom_site_label
_atom_site_fract_x
_atom_site_fract_y
_atom_site_fract_z
K1 0.183 0.250 0.420
K2 0.817 0.750 0.580
Sm1 0.308 0.250 0.951
Sm2 0.692 0.750 0.049
Ti1 0.226 0.750 0.163
Ti2 0.774 0.250 0.837
O1 0.022 0.750 0.304
O2 0.027 0.750 0.937
O3 0.435 0.522 0.174
O4 0.435 0.978 0.174
O5 0.565 0.022 0.826
O6 0.565 0.478 0.826
O7 0.973 0.250 0.063
O8 0.978 0.250 0.696

---

No. 8
# K2SmTi2O7 (PBE, optimized geometry)
# energy relative to the elements, uncorrected	-2.661	eV per atom
# density	4.4	Mg/m³
# total moment	0.897	μB per cell
# electronic total energy	-7.446	eV/atom
data_K2SmTi2O7
_symmetry_space_group_name_H-M 'P 1'
_symmetry_Int_Tables_number 1
_symmetry_space_group_name_Hall 'P 1'
_cell_length_a 11.215
_cell_length_b 11.215
_cell_length_c 11.215
_cell_angle_alpha 159.98
_cell_angle_beta 159.98
_cell_angle_gamma 28.45
loop_
_atom_site_label
_atom_site_fract_x
_atom_site_fract_y
_atom_site_fract_z
K1 0.191 0.191 0.000
K2 0.809 0.809 0.000
Sm1 0.000 0.000 0.000
Ti1 0.403 0.403 0.000
Ti2 0.597 0.597 0.000
O1 0.079 0.579 0.500
O2 0.321 0.321 0.000
O3 0.421 0.921 0.500
O4 0.500 0.500 0.000
O5 0.579 0.079 0.500
O6 0.679 0.679 0.000
O7 0.921 0.421 0.500

---

No. 9
# K2Sm2TiO6 (PBE, optimized geometry)
# energy relative to the elements, uncorrected	-2.755	eV per atom
# density	4.6	Mg/m³
# total moment	0.000	μB per cell
# electronic total energy	-7.235	eV/atom
data_K2Sm2TiO6
_symmetry_space_group_name_H-M 'P 1'
_symmetry_Int_Tables_number 1
_symmetry_space_group_name_Hall 'P 1'
_cell_length_a 5.850
_cell_length_b 5.850
_cell_length_c 6.592
_cell_angle_alpha 97.55
_cell_angle_beta 97.55
_cell_angle_gamma 119.37
loop_
_atom_site_label
_atom_site_fract_x
_atom_site_fract_y
_atom_site_fract_z
K1 0.159 0.841 0.000
K2 0.841 0.159 0.000
Sm1 0.335 0.665 0.500
Sm2 0.665 0.335 0.500
Ti1 0.000 0.000 0.500
O1 0.046 0.346 0.670
O2 0.235 0.235 0.328
O3 0.346 0.046 0.670
O4 0.654 0.954 0.330
O5 0.765 0.765 0.672
O6 0.954 0.654 0.330